DFT (PBE-GGA) results for a geometry-optimized Mg2Cd12Ag5 structure.

Energy of formation from the pure elements ... 0.468 eV per formula unit

Cell: 12.8093 7.8601 8.7332 Å, 90.00 97.14 90.00°
Closest atoms and distances in Å follow each position.
Space group C2/m (No. 12)
One atom of each set of equivalent atoms:
Mg 0.0000 0.2267 0.0000 [4 per cell]  2 Ag 2.97, 6 Cd 3.02-3.31
Cd 0.0680 0.5000 0.2695 [4 per cell]  2 Ag 2.80-2.89, 6 Cd 3.00-3.13
Cd 0.1106 0.3093 0.5849 [8 per cell]  4 Ag 2.86-3.08, 5 Cd 2.90-3.13
Cd 0.1190 0.0000 0.2401 [4 per cell]  2 Ag 2.89-2.90, 2 Mg 3.02, 2 Cd 3.04
Cd 0.2445 0.3064 0.1541 [8 per cell]  5 Cd 2.85-3.04, 3 Ag 2.92-2.96
Ag 0.0000 0.0000 0.5000 [2 per cell]  6 Cd 2.86-2.89, 2 Ag 2.88
Ag 0.1344 0.5000 0.8947 [4 per cell]  7 Cd 2.80-3.08, 2 Mg 2.97
Ag 0.2263 0.0000 0.5531 [4 per cell]  1 Ag 2.88, 8 Cd 2.88-2.96